Entry 1:
Density functional theory data (PBE-GGA) for a relaxed structure of V3Co2Rh3.

```
data_V3Co2Rh3
_symmetry_space_group_name_H-M 'I m m m'
_symmetry_Int_Tables_number 71
_symmetry_space_group_name_Hall '-I 2 2'
_cell_length_a 3.578
_cell_length_b 3.781
_cell_length_c 15.268
_cell_angle_alpha 90.00
_cell_angle_beta 90.00
_cell_angle_gamma 90.00
loop_
_atom_site_label
_atom_site_type_symbol
_atom_site_fract_x
_atom_site_fract_y
_atom_site_fract_z
V1 V 0.000 0.000 0.000
V2 V 0.000 0.500 0.141
Co1 Co 0.000 0.000 0.252
Rh1 Rh 0.000 0.000 0.500
Rh2 Rh 0.000 0.500 0.372
```

Final energy in eV per atom: -8.2210

***

Entry 2:
Density functional theory data (PBE-GGA) for a relaxed structure of Cr2NiTe.

```
data_Cr2NiTe
_symmetry_space_group_name_H-M 'R -3 m'
_symmetry_Int_Tables_number 166
_symmetry_space_group_name_Hall '-R 3 2"'
_cell_length_a 3.9478
_cell_length_b 3.9478
_cell_length_c 15.6387
_cell_angle_alpha 90.00
_cell_angle_beta 90.00
_cell_angle_gamma 120.00
loop_
_atom_site_label
_atom_site_type_symbol
_atom_site_fract_x
_atom_site_fract_y
_atom_site_fract_z
Cr1 Cr 0.0000 0.0000 0.2302
Ni1 Ni 0.0000 0.0000 0.5000
Te1 Te 0.0000 0.0000 0.0000
```

Formation energy from raw total energies in meV per atom: 479

***

Entry 3:
Density functional theory data (PBE-GGA) for a relaxed structure of ErPuH.

```
data_ErPuH
_symmetry_space_group_name_H-M 'P 3 m 1'
_symmetry_Int_Tables_number 156
_symmetry_space_group_name_Hall 'P 3 -2"'
_cell_length_a 3.4533
_cell_length_b 3.4533
_cell_length_c 5.6951
_cell_angle_alpha 90.00
_cell_angle_beta 90.00
_cell_angle_gamma 120.00
loop_
_atom_site_label
_atom_site_type_symbol
_atom_site_fract_x
_atom_site_fract_y
_atom_site_fract_z
Er1 Er 0.0000 0.0000 0.0000
Pu1 Pu 0.6667 0.3333 0.5061
H1 H 0.3333 0.6667 0.7626
```

Final energy in eV per atom: -7.5221

***

no.,density (g cm⁻³)
1,9.3
2,6.9
3,11.6